No. 1
CaSc2AuN: optimized geometry, PBE.

Results
Formation energy from raw total energies   -978.6 meV/atom
Crystal system   tetragonal

Lattice parameters (Å, degrees): 4.3687 4.3687 4.9374 90.00 90.00 90.00
Positions (direct):
Sc  0.5000  0.0000  0.0000
Sc  0.0000  0.5000  0.0000
Au  0.5000  0.5000  0.5000
Ca  0.0000  0.0000  0.5000
N  0.0000  0.0000  0.0000

---

No. 2
CaAuSeN2: optimized geometry, PBE.

Results
Polymorph energy (0 for the lowest one)   0 meV per atom
Formation energy from raw total energies   789.6 meV/atom
Crystal system   tetragonal

Lattice parameters (Å, degrees): 4.1676 4.1676 5.4592 90.00 90.00 90.00
Site moments in Bohr magnetons follow the coordinates.
Positions (direct):
Ca  0.5000  0.5000  0.5000  -0.01
N  0.0000  0.5000  0.0000  0.84
N  0.5000  0.0000  0.0000  0.84
Au  0.0000  0.0000  0.0000  0.18
Se  0.0000  0.0000  0.5000  0.10

---

No. 3
CaAuSe2N: optimized geometry, PBE.

Results
Polymorph energy (0 for the lowest one)   899 meV per atom
Formation energy from raw total energies   1024.1 meV/atom
Crystal system   tetragonal

Lattice parameters (Å, degrees): 5.4477 5.4477 4.2954 90.00 90.00 90.00
Site moments in Bohr magnetons follow the coordinates.
Positions (direct):
N  0.0000  0.0000  0.5000  -0.07
Se  0.5000  0.0000  0.0000  0.11
Se  0.0000  0.5000  0.0000  0.11
Au  0.5000  0.5000  0.5000  0.03
Ca  0.0000  0.0000  0.0000  -0.02

---

No. 4
CaAuSeN2: optimized geometry, PBE.

Results
Polymorph energy (0 for the lowest one)   614 meV per atom
Formation energy from raw total energies   1403.2 meV/atom
Crystal system   tetragonal

Lattice parameters (Å, degrees): 4.4372 4.4372 5.9821 90.00 90.00 90.00
Site moments in Bohr magnetons follow the coordinates.
Positions (direct):
Ca  0.0000  0.0000  0.0000  0.06
Au  0.5000  0.5000  0.5000  0.05
Se  0.0000  0.0000  0.5000  0.11
N  0.5000  0.0000  0.0000  1.43
N  0.0000  0.5000  0.0000  1.43

---

no.,uncorrected energy (eV/cell)
1,-31.2
2,-21.5
3,-15.5
4,-18.4